Entry from the Alexandria database: Co3SiH after structural relaxation (PBE).

Results
D(E_F) ... 0.518 states/eV/atom
Symmetry ... Cm, No. 8
Energy above the lowest structure with this stoichiometry ... 0.096 eV per atom
Electronic total energy ... -6.20 eV/atom

a b c (Å): 4.284 5.043 4.982
angles (deg): 120.42 77.48 89.98
Each line ends with the local moment (μB).
Atoms (fractional coordinates):
Co  0.730  0.551  0.858  0.74
Co  0.215  0.339  0.938  0.64
Co  0.639  0.557  0.370  0.64
Co  0.639  0.057  0.370  0.64
Co  0.135  0.853  0.462  0.88
Co  0.215  0.843  0.938  0.64
Si  0.135  0.326  0.408  -0.04
Si  0.701  0.062  0.881  -0.04
H  0.457  0.455  0.666  -0.01
H  0.937  0.701  0.157  -0.01

Entry from the Alexandria database: Ho3Zn4Hg2 after structural relaxation (PBE).

Results
D(E_F) ... 0.572 states/eV/atom
Symmetry ... C2/m, No. 12
Electronic total energy ... -2.55 eV/atom

a b c (Å): 4.628 5.769 8.693
angles (deg): 113.20 90.00 113.65
Atoms (fractional coordinates):
Zn  0.271  0.542  0.949
Zn  0.729  0.458  0.051
Zn  0.050  0.101  0.391
Zn  0.950  0.899  0.609
Ho  0.334  0.668  0.331
Ho  0.000  0.000  0.000
Ho  0.666  0.332  0.669
Hg  0.388  0.775  0.723
Hg  0.612  0.225  0.277

- Which formula does entry 1 have?
  Co3SiH

Repeat the second record exactly.
Entry from the Alexandria database: Ho3Zn4Hg2 after structural relaxation (PBE).

Results
D(E_F) ... 0.572 states/eV/atom
Symmetry ... C2/m, No. 12
Electronic total energy ... -2.55 eV/atom

a b c (Å): 4.628 5.769 8.693
angles (deg): 113.20 90.00 113.65
Atoms (fractional coordinates):
Zn  0.271  0.542  0.949
Zn  0.729  0.458  0.051
Zn  0.050  0.101  0.391
Zn  0.950  0.899  0.609
Ho  0.334  0.668  0.331
Ho  0.000  0.000  0.000
Ho  0.666  0.332  0.669
Hg  0.388  0.775  0.723
Hg  0.612  0.225  0.277

- The lowest electronic total energy belongs to which entry?
  Co3SiH

- Number 1 is which compound?
  Co3SiH